This record from Alexandria via LeMat-Bulk describes a geometry-optimized Cs3KCd2Br9 structure. The functional is PBE.

The structure belongs to space group P-3m1 (No. 164); the cell edges are 7.8505, 7.8505 and 11.2221 Å and the angles 90.00°, 90.00° and 120.00°. The distinct sites, in fractional coordinates, are Cs at (0.0000, 0.0000, 0.0000), Cs at (0.3333, 0.6667, 0.7284), K at (0.0000, 0.0000, 0.5000), Cd at (0.3333, 0.6667, 0.1577), Br at (0.0000, 0.5000, 0.0000) and Br at (0.1665, 0.3330, 0.2935).

Its density is 3.831 g/cm³. The formation energy (no corrections) is -1.25 eV/atom. For the magnetization, the calculation gives 0.1 μB per formula unit. For the total energy, the calculation gives -2.6168 eV/atom.